No. 1
First-principles (meta-GGA SCAN) data for KAl2Au2 at its PBEsol-relaxed geometry, as listed in Alexandria via LeMat-Bulk.

The space group is I4/mmm (No. 139) and the conventional cell measures 4.400, 4.400 and 11.078 Å, with angles of 90.00, 90.00 and 90.00 degrees. The distinct sites, in fractional coordinates, are K at (0.000, 0.000, 0.000), Al at (0.000, 0.500, 0.250) and Au at (0.000, 0.000, 0.372).

The value obtained for the formation energy is -0.54 eV per atom. For the total magnetic moment, the calculation gives 0.0 μB/cell.

---

No. 2
First-principles (meta-GGA SCAN) data for KAl2Au at its PBEsol-relaxed geometry, as listed in Alexandria via LeMat-Bulk.

The space group is R3m (No. 160, hexagonal axes) and the conventional cell measures 4.4153, 4.4153 and 18.9117 Å, with angles of 90.00, 90.00 and 120.00 degrees. The distinct sites, in fractional coordinates, are K at (0.0000, 0.0000, 0.0000), Al at (0.0000, 0.0000, 0.5271), Al at (0.0000, 0.0000, 0.8113) and Au at (0.0000, 0.0000, 0.1784).

The value obtained for the formation energy is -0.38 eV per atom. For the total magnetic moment, the calculation gives 0.0 μB/cell.

---

No. 3
First-principles (meta-GGA SCAN) data for K2AlAu at its PBEsol-relaxed geometry, as listed in Alexandria via LeMat-Bulk.

The space group is I4/mmm (No. 139) and the conventional cell measures 4.469, 4.469 and 10.685 Å, with angles of 90.00, 90.00 and 90.00 degrees. The distinct sites, in fractional coordinates, are K at (0.000, 0.500, 0.250), Al at (0.000, 0.000, 0.000) and Au at (0.000, 0.000, 0.500).

The value obtained for the formation energy is 0.14 eV per atom. For the total magnetic moment, the calculation gives 1.5 μB/cell.

---

No. 4
First-principles (meta-GGA SCAN) data for KAlAu2 at its PBEsol-relaxed geometry, as listed in Alexandria via LeMat-Bulk.

The space group is R3m (No. 160, hexagonal axes) and the conventional cell measures 4.4678, 4.4678 and 18.3686 Å, with angles of 90.00, 90.00 and 120.00 degrees. The distinct sites, in fractional coordinates, are K at (0.0000, 0.0000, 0.0000), Al at (0.0000, 0.0000, 0.1830), Au at (0.0000, 0.0000, 0.5301) and Au at (0.0000, 0.0000, 0.8148).

The value obtained for the formation energy is -0.46 eV per atom. For the total magnetic moment, the calculation gives 0.0 μB/cell.

---

No. 5
First-principles (meta-GGA SCAN) data for KAl2Au at its PBEsol-relaxed geometry, as listed in Alexandria via LeMat-Bulk.

The space group is Imm2 (No. 44) and the conventional cell measures 4.651, 5.517 and 7.166 Å, with angles of 90.00, 90.00 and 90.00 degrees. The distinct sites, in fractional coordinates, are K at (0.000, 0.000, 0.000), Al at (0.000, 0.000, 0.526), Al at (0.000, 0.500, 0.798) and Au at (0.000, 0.500, 0.179).

The value obtained for the formation energy is 0.12 eV per atom. For the total magnetic moment, the calculation gives 0.0 μB/cell.

---

No. 6
First-principles (meta-GGA SCAN) data for KAlAu at its PBEsol-relaxed geometry, as listed in Alexandria via LeMat-Bulk.

The space group is P-6m2 (No. 187) and the conventional cell measures 4.2874, 4.2874 and 5.4080 Å, with angles of 90.00, 90.00 and 120.00 degrees. The distinct sites, in fractional coordinates, are K at (0.0000, 0.0000, 0.0000), Al at (0.3333, 0.6667, 0.5000) and Au at (0.6667, 0.3333, 0.5000).

The value obtained for the formation energy is -0.35 eV per atom. For the total magnetic moment, the calculation gives 0.0 μB/cell.

---

No. 7
First-principles (meta-GGA SCAN) data for KAlAu2 at its PBEsol-relaxed geometry, as listed in Alexandria via LeMat-Bulk.

The space group is R-3m (No. 166, hexagonal axes) and the conventional cell measures 4.5011, 4.5011 and 17.6595 Å, with angles of 90.00, 90.00 and 120.00 degrees. The distinct sites, in fractional coordinates, are K at (0.0000, 0.0000, 0.0000), Al at (0.0000, 0.0000, 0.5000) and Au at (0.0000, 0.0000, 0.1900).

The value obtained for the formation energy is -0.52 eV per atom. For the total magnetic moment, the calculation gives 0.0 μB/cell.

---

No. 8
First-principles (meta-GGA SCAN) data for K2AlAu at its PBEsol-relaxed geometry, as listed in Alexandria via LeMat-Bulk.

The space group is P4/mmm (No. 123) and the conventional cell measures 4.374, 4.374 and 6.009 Å, with angles of 90.00, 90.00 and 90.00 degrees. The distinct sites, in fractional coordinates, are K at (0.000, 0.000, 0.240), Al at (0.500, 0.500, 0.500) and Au at (0.500, 0.500, 0.000).

The value obtained for the formation energy is 0.09 eV per atom. For the total magnetic moment, the calculation gives 0.0 μB/cell.

---

No. 9
First-principles (meta-GGA SCAN) data for KAlPdAu2 at its PBEsol-relaxed geometry, as listed in Alexandria via LeMat-Bulk.

The space group is P4/mmm (No. 123) and the conventional cell measures 5.085, 5.085 and 5.207 Å, with angles of 90.00, 90.00 and 90.00 degrees. The distinct sites, in fractional coordinates, are K at (0.000, 0.000, 0.000), Al at (0.500, 0.500, 0.000), Pd at (0.000, 0.000, 0.500) and Au at (0.000, 0.500, 0.500).

The value obtained for the formation energy is 0.55 eV per atom. For the total magnetic moment, the calculation gives 0.0 μB/cell.

---

No. 10
First-principles (meta-GGA SCAN) data for K2AlTcAu at its PBEsol-relaxed geometry, as listed in Alexandria via LeMat-Bulk.

The space group is P4/mmm (No. 123) and the conventional cell measures 6.262, 6.262 and 4.683 Å, with angles of 90.00, 90.00 and 90.00 degrees. The distinct sites, in fractional coordinates, are K at (0.000, 0.500, 0.000), Al at (0.000, 0.000, 0.000), Tc at (0.500, 0.500, 0.500) and Au at (0.000, 0.000, 0.500).

The value obtained for the formation energy is 1.03 eV per atom. For the total magnetic moment, the calculation gives 4.1 μB/cell.

---

No. 11
First-principles (meta-GGA SCAN) data for LaAl2Au at its PBEsol-relaxed geometry, as listed in Alexandria via LeMat-Bulk.

The space group is R-3m (No. 166, hexagonal axes) and the conventional cell measures 4.3110, 4.3110 and 16.3327 Å, with angles of 90.00, 90.00 and 120.00 degrees. The distinct sites, in fractional coordinates, are La at (0.0000, 0.0000, 0.0000), Al at (0.0000, 0.0000, 0.2095) and Au at (0.0000, 0.0000, 0.5000).

The value obtained for the formation energy is -0.82 eV per atom. For the total magnetic moment, the calculation gives 0.0 μB/cell.

---

No. 12
First-principles (meta-GGA SCAN) data for LaAl2Au at its PBEsol-relaxed geometry, as listed in Alexandria via LeMat-Bulk.

The space group is Pmmm (No. 47) and the conventional cell measures 3.203, 3.400 and 7.452 Å, with angles of 90.00, 90.00 and 90.00 degrees. The distinct sites, in fractional coordinates, are La at (0.000, 0.000, 0.000), Al at (0.500, 0.500, 0.305) and Au at (0.000, 0.000, 0.500).

The value obtained for the formation energy is -0.52 eV per atom. For the total magnetic moment, the calculation gives 0.0 μB/cell.

---

Q: What is the total magnetic moment in the ninth record?
A: 0.0 μB/cell

---

Q: Among the records above, which one has the highest total magnetic moment?
A: K2AlTcAu

---

Q: total magnetic moment of number 2 (KAl2Au)?
A: 0.0 μB/cell

---

Q: Which formula does entry 1 have?
A: KAl2Au2